[1]
# La3CN

Crystalline La3CN at its relaxed geometry (GGA-PBE, the Alexandria database).

a = 6.9311 Å, b = 6.9311 Å, c = 7.6679 Å
α = 104.56°, β = 104.56°, γ = 125.95°
Sites, in units of the cell vectors:
N1 0.8090 0.8090 0.6840
La1 0.8444 0.1828 0.7780
La2 0.1828 0.8444 0.7780
C1 0.6544 0.3456 0.0000
C2 0.3456 0.6544 0.0000
La3 0.8172 0.1556 0.2220
La4 0.4653 0.4653 0.7288
La5 0.5347 0.5347 0.2712
N2 0.1910 0.1910 0.3160
La6 0.1556 0.8172 0.2220

Results
- Fermi-level density of states (states/eV/f.u.) = 2.6
- relative energy among the computed polymorphs (kJ/mol of formula units) = 15.5
- crystal system = monoclinic
- space group = C2/m, No. 12
- total energy (eV per atom) = -6.92

[2]
# Ir2RuPt

Crystalline Ir2RuPt at its relaxed geometry (GGA-PBE, the Alexandria database).

a = 5.4954 Å, b = 5.4954 Å, c = 5.4954 Å
α = 151.61°, β = 129.48°, γ = 58.97°
Sites, in units of the cell vectors:
Ir1 0.4849 0.4849 0.0000
Pt1 0.7500 0.2500 0.5000
Ir2 0.0151 0.0151 0.0000
Ru1 0.2500 0.7500 0.5000

Results
- energy relative to the elements (eV/atom) = 0.274
- Fermi-level density of states (states/eV/f.u.) = 5.5
- relative energy among the computed polymorphs (kJ/mol of formula units) = 112.7
- crystal system = orthorhombic
- space group = Immm, No. 71
- total energy (eV per atom) = -7.99

[3]
# Ba2PmCu2O6

Crystalline Ba2PmCu2O6 at its relaxed geometry (GGA-PBE, the Alexandria database).

a = 6.0831 Å, b = 6.0831 Å, c = 6.9661 Å
α = 64.11°, β = 64.11°, γ = 60.00°
Site moments in Bohr magnetons follow the coordinates.
Sites, in units of the cell vectors:
O1 0.7684 0.2493 0.7329  0.25
Pm1 0.0000 0.0000 0.0000  0.01
Cu1 0.5768 0.5768 0.2697  0.66
Ba1 0.7885 0.7885 0.6346  -0.01
O2 0.2493 0.7684 0.7329  0.25
Cu2 0.4232 0.4232 0.7303  0.66
O3 0.7507 0.2316 0.2671  0.25
Ba2 0.2115 0.2115 0.3654  -0.01
O4 0.2316 0.7507 0.2671  0.25
O5 0.2493 0.2493 0.7329  0.25
O6 0.7507 0.7507 0.2671  0.25

Results
- Fermi-level density of states (states/eV/f.u.) = 2.4
- crystal system = trigonal
- space group = R-3m, No. 166
- total energy (eV per atom) = -6.09

[4]
# Rb2TmUSe6

Crystalline Rb2TmUSe6 at its relaxed geometry (GGA-PBE, the Alexandria database).

a = 7.7165 Å, b = 7.7176 Å, c = 10.9138 Å
α = 90.00°, β = 90.00°, γ = 90.00°
Sites, in units of the cell vectors:
Se1 0.5000 0.2493 0.7452
Tm1 0.0000 0.7492 0.5000
Se2 0.7547 0.9959 0.0000
Rb1 0.5000 0.7498 0.2503
Se3 0.0000 0.7507 0.2452
Se4 0.0000 0.7507 0.7548
Tm2 0.5000 0.2507 0.0000
Se5 0.2452 0.5054 0.0000
Se6 0.2548 0.4946 0.5000
Rb2 0.0000 0.2502 0.2497
Se7 0.2547 0.0041 0.5000
Se8 0.2453 0.9959 0.0000
Rb3 0.5000 0.7498 0.7497
U1 0.0000 0.7507 0.0000
Se9 0.7453 0.0041 0.5000
U2 0.5000 0.2493 0.5000
Se10 0.7452 0.4946 0.5000
Se11 0.5000 0.2493 0.2548
Rb4 0.0000 0.2502 0.7503
Se12 0.7548 0.5054 0.0000

Results
- Fermi-level density of states (states/eV/f.u.) = 5.8
- crystal system = orthorhombic
- space group = Pmmn, No. 59
- total energy (eV per atom) = -5.09

[5]
# CsSi3Ru

Crystalline CsSi3Ru at its relaxed geometry (GGA-PBE, the Alexandria database).

a = 4.8070 Å, b = 4.8070 Å, c = 4.8070 Å
α = 90.00°, β = 90.00°, γ = 90.00°
Sites, in units of the cell vectors:
Si1 0.0000 0.0000 0.5000
Si2 0.5000 0.0000 0.0000
Si3 0.0000 0.5000 0.0000
Cs1 0.5000 0.5000 0.5000
Ru1 0.0000 0.0000 0.0000

Results
- Fermi-level density of states (states/eV/f.u.) = 6.4
- relative energy among the computed polymorphs (kJ/mol of formula units) = 0.0
- crystal system = cubic
- space group = Pm-3m, No. 221
- total energy (eV per atom) = -4.86

[6]
# Sr3SiBr3

Crystalline Sr3SiBr3 at its relaxed geometry (GGA-PBE, the Alexandria database).

a = 11.0272 Å, b = 11.0272 Å, c = 11.0272 Å
α = 109.47°, β = 109.47°, γ = 109.47°
Site moments in Bohr magnetons follow the coordinates.
Sites, in units of the cell vectors:
Sr1 0.7527 0.0027 0.0053  0.02
Br1 0.5017 0.4983 0.2500  0.00
Sr2 0.2500 0.2473 0.2527  0.02
Br2 0.2517 0.0017 0.0033  0.00
Br3 0.5017 0.0033 0.7517  0.00
Sr3 0.9973 0.2473 0.4947  0.02
Sr4 0.9973 0.7500 0.0027  0.02
Br4 0.9983 0.7483 0.4967  0.00
Sr5 0.2500 0.0027 0.4973  0.02
Br5 0.9983 0.2500 0.0017  0.00
Br6 0.2517 0.2500 0.7483  0.00
Sr6 0.9947 0.4973 0.2473  0.02
Si1 0.7500 0.5000 0.0000  0.15
Br7 0.7500 0.0017 0.4983  0.00
Sr7 0.7473 0.2527 0.7500  0.02
Si2 0.0000 0.0000 0.2500  0.15
Sr8 0.5027 0.0053 0.2527  0.02
Br8 0.9967 0.4983 0.7483  0.00
Si3 0.5000 0.2500 0.5000  0.15
Br9 0.5033 0.7517 0.0017  0.00
Br10 0.2483 0.4967 0.4983  0.00
Sr9 0.5027 0.4973 0.7500  0.02
Sr10 0.5053 0.2527 0.0027  0.02
Br11 0.7500 0.7483 0.7517  0.00
Br12 0.2483 0.7517 0.2500  0.00
Si4 0.7500 0.2500 0.2500  0.15
Sr11 0.7527 0.7500 0.2473  0.02
Sr12 0.7473 0.4947 0.4973  0.02

Results
- Fermi-level density of states (states/eV/f.u.) = 4.1
- crystal system = cubic
- space group = I4_132, No. 214
- total energy (eV per atom) = -3.65

[7]
# Re2HgAs

Crystalline Re2HgAs at its relaxed geometry (GGA-PBE, the Alexandria database).

a = 4.4040 Å, b = 4.4040 Å, c = 5.6459 Å
α = 78.32°, β = 78.32°, γ = 39.89°
Sites, in units of the cell vectors:
Re1 0.4879 0.4879 0.5542
Hg1 0.2500 0.2500 0.2500
As1 0.7500 0.7500 0.7500
Re2 0.0121 0.0121 0.9458

Results
- energy relative to the elements (eV/atom) = 0.702
- Fermi-level density of states (states/eV/f.u.) = 3.1
- relative energy among the computed polymorphs (kJ/mol of formula units) = 164.0
- crystal system = monoclinic
- space group = C2/m, No. 12
- total energy (eV per atom) = -6.76

[8]
# Sr2DyIn

Crystalline Sr2DyIn at its relaxed geometry (GGA-PBE, the Alexandria database).

a = 3.8204 Å, b = 3.8204 Å, c = 13.3045 Å
α = 81.75°, β = 81.75°, γ = 60.00°
Site moments in Bohr magnetons follow the coordinates.
Sites, in units of the cell vectors:
Sr1 0.9125 0.9125 0.2624  0.03
Sr2 0.0875 0.0875 0.7376  0.03
In1 0.0000 0.0000 0.0000  0.00
Dy1 0.5000 0.5000 0.5000  0.26

Results
- energy relative to the elements (eV/atom) = 0.234
- Fermi-level density of states (states/eV/f.u.) = 5.4
- crystal system = trigonal
- space group = R-3m, No. 166
- total energy (eV per atom) = -2.44

[9]
# Ba4IrAu

Crystalline Ba4IrAu at its relaxed geometry (GGA-PBE, the Alexandria database).

a = 7.7893 Å, b = 7.7888 Å, c = 9.6303 Å
α = 66.02°, β = 66.15°, γ = 90.00°
Sites, in units of the cell vectors:
Ba1 0.3820 0.3815 0.2637
Ir1 0.0000 0.0000 0.5000
Ba2 0.3543 0.8815 0.2637
Au1 0.7501 0.2500 0.0000
Ba3 0.8816 0.3537 0.2639
Ba4 0.1455 0.1463 0.7362
Ba5 0.6180 0.6185 0.7363
Ir2 0.5000 0.5000 0.5000
Ba6 0.8545 0.8537 0.2638
Ba7 0.6457 0.1185 0.7363
Au2 0.2499 0.7500 0.0000
Ba8 0.1184 0.6463 0.7361

Results
- energy relative to the elements (eV/atom) = -0.305
- Fermi-level density of states (states/eV/f.u.) = 3.5
- relative energy among the computed polymorphs (kJ/mol of formula units) = 7.3
- crystal system = monoclinic
- space group = C2/c, No. 15
- total energy (eV per atom) = -3.61

[10]
# Sm3Si2Pt9Au

Crystalline Sm3Si2Pt9Au at its relaxed geometry (GGA-PBE, the Alexandria database).

a = 5.6744 Å, b = 5.6744 Å, c = 11.1617 Å
α = 90.00°, β = 90.00°, γ = 120.00°
Sites, in units of the cell vectors:
Si1 0.6667 0.3333 0.8412
Pt1 0.6751 0.8376 0.3043
Pt2 0.3249 0.1624 0.6957
Pt3 0.8376 0.6751 0.6957
Sm1 0.3333 0.6667 0.5917
Sm2 0.6667 0.3333 0.4083
Pt4 0.5000 0.5000 0.0000
Pt5 0.1624 0.3249 0.3043
Au1 0.0000 0.0000 0.5000
Pt6 0.8376 0.1624 0.6957
Sm3 0.0000 0.0000 0.0000
Pt7 0.5000 0.0000 0.0000
Pt8 0.1624 0.8376 0.3043
Pt9 0.0000 0.5000 0.0000
Si2 0.3333 0.6667 0.1588

Results
- Fermi-level density of states (states/eV/f.u.) = 4.3
- crystal system = trigonal
- space group = P-3m1, No. 164
- total energy (eV per atom) = -6.28

[11]
# Ti3Nb4W

Crystalline Ti3Nb4W at its relaxed geometry (GGA-PBE, the Alexandria database).

a = 4.5647 Å, b = 3.0731 Å, c = 12.1555 Å
α = 77.27°, β = 111.91°, γ = 89.87°
Sites, in units of the cell vectors:
W1 0.0000 0.0000 0.0000
Ti1 0.4000 0.8178 0.4027
Nb1 0.1355 0.5870 0.6333
Nb2 0.1923 0.3634 0.1959
Nb3 0.8645 0.4130 0.3667
Ti2 0.5000 0.5000 0.0000
Ti3 0.6000 0.1822 0.5973
Nb4 0.8077 0.6366 0.8041

Results
- energy relative to the elements (eV/atom) = 0.506
- Fermi-level density of states (states/eV/f.u.) = 10.7
- crystal system = triclinic
- space group = P-1, No. 2
- total energy (eV per atom) = -9.11

[12]
# PbCF2

Crystalline PbCF2 at its relaxed geometry (GGA-PBE, the Alexandria database).

a = 3.7243 Å, b = 3.7243 Å, c = 8.3424 Å
α = 77.10°, β = 77.10°, γ = 90.00°
Sites, in units of the cell vectors:
F1 0.3750 0.3917 0.7500
F2 0.6083 0.1250 0.2500
Pb1 0.7500 0.2500 0.5000
F3 0.8750 0.8583 0.7500
C1 0.2500 0.7500 0.5000
Pb2 0.0000 0.0000 0.0000
C2 0.5000 0.5000 0.0000
F4 0.1417 0.6250 0.2500

Results
- Fermi-level density of states (states/eV/f.u.) = 1.1
- relative energy among the computed polymorphs (kJ/mol of formula units) = 0.0
- crystal system = tetragonal
- space group = I-42d, No. 122
- total energy (eV per atom) = -4.09